The following is a PBE calculation of an optimized crystal structure of AcDyCd17, from Alexandria via LeMat-Bulk.

Lattice parameters (Å, degrees): 7.718 7.718 7.718 82.25 82.25 82.25
Element x y z (fractional)
Ac 0.000 0.000 0.000
Dy 0.661 0.661 0.661
Cd 0.034 0.338 0.630
Cd 0.034 0.630 0.338
Cd 0.206 0.683 0.683
Cd 0.243 0.243 0.243
Cd 0.316 0.316 0.855
Cd 0.316 0.855 0.316
Cd 0.338 0.034 0.630
Cd 0.338 0.630 0.034
Cd 0.441 0.441 0.441
Cd 0.531 0.958 0.958
Cd 0.630 0.034 0.338
Cd 0.630 0.338 0.034
Cd 0.683 0.206 0.683
Cd 0.683 0.683 0.206
Cd 0.855 0.316 0.316
Cd 0.958 0.531 0.958
Cd 0.958 0.958 0.531

Computed properties:
- Crystal system: trigonal
- Calculated total energy: -1.4226 eV per atom
- Formation energy: -0.145 eV/atom
- Space group: R3m, No. 160